No. 1
Pu2GeRu | Alexandria | GGA-PBE | optimized geometry; formation energy from the elements = 35 kJ/mol of formula units; calculated volume = 16.1 Å³ per atom; symmetry = P4/mmm
1.0
-1.379 3.178 -3.654
-3.250 -1.497 -0.075
-1.134 2.338 2.461
Ge Pu Ru
1 2 1
Direct
0.500 0.500 0.500
0.000 0.500 0.000
0.000 0.000 0.500
0.500 0.000 0.000

=====

No. 2
La2CuPdC | Alexandria | GGA-PBE | optimized geometry; formation energy from the elements = -85 kJ/mol of formula units; calculated volume = 22.2 Å³ per atom; symmetry = P4/mmm; E above lowest polymorph = 0.63 eV/f.u.
1.0
-2.835 4.233 -1.345
-2.429 -0.142 4.674
2.825 2.381 1.540
Pd C Cu La
1 1 1 2
Direct
0.000 0.000 0.500
0.000 0.000 0.000
0.500 0.500 0.500
0.000 0.500 0.000
0.500 0.000 0.000

=====

No. 3
DyAgSnS4 | Alexandria | GGA-PBE | optimized geometry; calculated volume = 24.4 Å³ per atom; formation energy (no corrections) = -0.903 eV/atom; symmetry = Imma
1.0
-7.528 1.647 -0.960
-5.062 -1.440 5.816
-3.182 6.026 3.884
S Dy Ag Sn
8 2 2 2
Direct
0.750 0.226 0.274
0.750 0.774 0.726
0.250 0.774 0.726
0.777 0.234 0.734
0.223 0.766 0.266
0.744 0.766 0.266
0.250 0.226 0.274
0.256 0.234 0.734
0.000 0.500 0.500
0.000 0.000 0.000
0.379 0.371 0.871
0.621 0.629 0.129
0.000 0.000 0.500
0.500 0.000 0.500